[1]
A plane-wave DFT calculation with PBE was carried out for crystalline Li6Ag3Hg2 at its relaxed geometry.

Cell lengths 8.8430, 14.6996, 3.0669 Å; angles 90.00, 90.00, 90.00 degrees
With the nearest neighbours (Å) after each atom.
Space group Cmmm (No. 65)
Asymmetric unit:
Li1 0.0000 0.0897 0.0000 (multiplicity 4)  3 Li 2.64-2.89, 2 Ag 2.64, 4 Hg 2.80
Li2 0.1937 0.3414 0.0000 (multiplicity 8)  3 Ag 2.77-2.89, 4 Li 2.87-3.07, 2 Hg 2.90
Ag1 0.0000 0.2360 0.5000 (multiplicity 4)  6 Li 2.64-2.77
Ag2 0.0000 0.5000 0.0000 (multiplicity 2)  4 Li 2.89, 4 Hg 2.93, 2 Ag 3.07
Hg1 0.2183 0.0000 0.5000 (multiplicity 4)  8 Li 2.80-2.90, 2 Ag 2.93, 2 Hg 3.07

crystal system	orthorhombic
E_tot	-2.05	eV/atom
DOS at the Fermi energy	7.91	states/eV/cell
ΔE_f	-173.3	meV/atom


[2]
A plane-wave DFT calculation with PBE was carried out for crystalline Li3Ag6Hg2 at its relaxed geometry.

Cell lengths 4.1435, 6.5706, 7.7614 Å; angles 104.90, 105.39, 90.23 degrees
With the nearest neighbours (Å) after each atom.
Space group P-1 (No. 2)
Asymmetric unit:
Li1 0.0000 0.0000 0.0000 (multiplicity 1)  4 Hg 2.85-2.88, 8 Ag 2.92-3.04
Li2 0.2756 0.3514 0.5511 (multiplicity 2)  9 Ag 2.83-2.90, 1 Hg 2.92, 2 Li 3.08-3.09
Ag1 0.1020 0.4574 0.2020 (multiplicity 2)  4 Li 2.83-2.98, 3 Ag 2.86-2.93, 4 Hg 3.02-3.06
Ag2 0.1825 0.9163 0.3641 (multiplicity 2)  4 Li 2.83-2.92, 6 Ag 2.88-2.94, 2 Hg 2.93-2.95
Ag3 0.3546 0.8012 0.7094 (multiplicity 2)  5 Li 2.84-3.04, 5 Ag 2.86-2.94, 2 Hg 2.96-2.99
Hg1 0.4533 0.2597 0.9125 (multiplicity 2)  3 Li 2.85-2.92, 8 Ag 2.93-3.06, 1 Hg 3.08

crystal system	triclinic
E_tot	-2.28	eV/atom
DOS at the Fermi energy	2.80	states/eV/cell
ΔE_f	-146.9	meV/atom


[3]
A plane-wave DFT calculation with PBE was carried out for crystalline Li2Ag4Hg at its relaxed geometry.

Cell lengths 5.1839, 5.1839, 13.8228 Å; angles 90.00, 90.00, 90.00 degrees
With the nearest neighbours (Å) after each atom.
Space group I4/mmm (No. 139)
Asymmetric unit:
Li1 0.0000 0.0000 0.1070 (multiplicity 4)  1 Ag 2.66, 1 Li 2.96
Ag1 0.0000 0.0000 0.2995 (multiplicity 4)  1 Li 2.66, 1 Hg 2.77
Ag2 0.0000 0.5000 0.0000 (multiplicity 4)  2 Hg 2.59
Hg1 0.0000 0.0000 0.5000 (multiplicity 2)  6 Ag 2.59-2.77

crystal system	tetragonal
E_tot	-1.83	eV/atom
DOS at the Fermi energy	5.52	states/eV/cell
ΔE_f	392.1	meV/atom
ΔE to the lowest computed polymorph	444	meV per atom